# 1
Material: SmTm9Th2
Method: DFT, PBE
State: optimized geometry

Results
Calculated volume = 30.747 Å³ per atom
Total magnetization = 0.0 μB/f.u.
DFT total energy = -4.9519 eV/atom
SG = P4/mmm (123)
Density = 9.61 Mg/m³

The structure in CIF format:
```
data_SmTm9Th2
_cell_length_a 4.969
_cell_length_b 4.969
_cell_length_c 14.943
_cell_angle_alpha 90.00
_cell_angle_beta 90.00
_cell_angle_gamma 90.00
_space_group_name_H-M_alt 'P 1'
_space_group_IT_number 1
loop_
_space_group_symop_operation_xyz
'x,y,z'
loop_
_atom_site_label
_atom_site_fract_x
_atom_site_fract_y
_atom_site_fract_z
Sm1 0.000 0.000 0.000
Tm1 0.000 0.500 0.169
Tm2 0.000 0.500 0.500
Tm3 0.000 0.500 0.831
Tm4 0.500 0.000 0.169
Tm5 0.500 0.000 0.500
Tm6 0.500 0.000 0.831
Tm7 0.500 0.500 0.000
Tm8 0.500 0.500 0.334
Tm9 0.500 0.500 0.666
Th1 0.000 0.000 0.334
Th2 0.000 0.000 0.666
```


# 2
Material: SmTm6Th2
Method: DFT, PBE
State: optimized geometry

Results
Calculated volume = 31.500 Å³ per atom
Total magnetization = 0.0 μB/f.u.
DFT total energy = -5.0772 eV/atom
SG = P-6m2 (187)
Density = 9.54 Mg/m³

The structure in CIF format:
```
data_SmTm6Th2
_cell_length_a 3.544
_cell_length_b 3.544
_cell_length_c 26.060
_cell_angle_alpha 90.00
_cell_angle_beta 90.00
_cell_angle_gamma 120.00
_space_group_name_H-M_alt 'P 1'
_space_group_IT_number 1
loop_
_space_group_symop_operation_xyz
'x,y,z'
loop_
_atom_site_label
_atom_site_fract_x
_atom_site_fract_y
_atom_site_fract_z
Sm1 0.000 0.000 0.000
Tm1 0.000 0.000 0.217
Tm2 0.000 0.000 0.437
Tm3 0.000 0.000 0.563
Tm4 0.000 0.000 0.783
Tm5 0.333 0.667 0.111
Tm6 0.333 0.667 0.889
Th1 0.333 0.667 0.329
Th2 0.333 0.667 0.671
```


# 3
Material: Sm5Tm4Th
Method: DFT, PBE
State: optimized geometry

Results
Calculated volume = 33.098 Å³ per atom
Total magnetization = 0.0 μB/f.u.
DFT total energy = -4.5666 eV/atom
SG = I4 (79)
Density = 8.33 Mg/m³

The structure in CIF format:
```
data_Sm5Tm4Th
_cell_length_a 7.873
_cell_length_b 7.873
_cell_length_c 7.873
_cell_angle_alpha 99.49
_cell_angle_beta 99.49
_cell_angle_gamma 132.09
_space_group_name_H-M_alt 'P 1'
_space_group_IT_number 1
loop_
_space_group_symop_operation_xyz
'x,y,z'
loop_
_atom_site_label
_atom_site_fract_x
_atom_site_fract_y
_atom_site_fract_z
Sm1 0.000 0.000 0.000
Sm2 0.027 0.406 0.909
Sm3 0.118 0.027 0.621
Sm4 0.406 0.497 0.379
Sm5 0.497 0.118 0.091
Tm1 0.104 0.708 0.296
Tm2 0.411 0.808 0.704
Tm3 0.708 0.411 0.603
Tm4 0.808 0.104 0.397
Th1 0.536 0.536 0.000
```


# 4
Material: Sm2TmTh
Method: DFT, PBE
State: optimized geometry

Results
Calculated volume = 32.357 Å³ per atom
Total magnetization = 0.0 μB/f.u.
DFT total energy = -5.2887 eV/atom
SG = P4/mmm (123)
Density = 9.00 Mg/m³

The structure in CIF format:
```
data_Sm2TmTh
_cell_length_a 5.044
_cell_length_b 5.044
_cell_length_c 5.087
_cell_angle_alpha 90.00
_cell_angle_beta 90.00
_cell_angle_gamma 90.00
_space_group_name_H-M_alt 'P 1'
_space_group_IT_number 1
loop_
_space_group_symop_operation_xyz
'x,y,z'
loop_
_atom_site_label
_atom_site_fract_x
_atom_site_fract_y
_atom_site_fract_z
Sm1 0.000 0.500 0.000
Sm2 0.500 0.000 0.000
Tm1 0.000 0.000 0.500
Th1 0.500 0.500 0.500
```


# 5
Material: Sm4Tm5Th
Method: DFT, PBE
State: optimized geometry

Results
Calculated volume = 32.112 Å³ per atom
Total magnetization = 0.0 μB/f.u.
DFT total energy = -4.7821 eV/atom
SG = C2/m (12)
Density = 8.68 Mg/m³

The structure in CIF format:
```
data_Sm4Tm5Th
_cell_length_a 10.820
_cell_length_b 10.820
_cell_length_c 8.250
_cell_angle_alpha 97.40
_cell_angle_beta 97.40
_cell_angle_gamma 19.59
_space_group_name_H-M_alt 'P 1'
_space_group_IT_number 1
loop_
_space_group_symop_operation_xyz
'x,y,z'
loop_
_atom_site_label
_atom_site_fract_x
_atom_site_fract_y
_atom_site_fract_z
Sm1 0.110 0.110 0.329
Sm2 0.315 0.315 0.947
Sm3 0.685 0.685 0.053
Sm4 0.890 0.890 0.671
Tm1 0.094 0.094 0.758
Tm2 0.283 0.283 0.359
Tm3 0.500 0.500 0.500
Tm4 0.717 0.717 0.641
Tm5 0.906 0.906 0.242
Th1 0.500 0.500 0.000
```


# 6
Material: SmTm2Th2
Method: DFT, PBE
State: optimized geometry

Results
Calculated volume = 31.702 Å³ per atom
Total magnetization = 0.0 μB/f.u.
DFT total energy = -5.6826 eV/atom
SG = R-3m (166)
Density = 9.98 Mg/m³

The structure in CIF format:
```
data_SmTm2Th2
_cell_length_a 14.546
_cell_length_b 14.546
_cell_length_c 14.546
_cell_angle_alpha 14.08
_cell_angle_beta 14.08
_cell_angle_gamma 14.08
_space_group_name_H-M_alt 'P 1'
_space_group_IT_number 1
loop_
_space_group_symop_operation_xyz
'x,y,z'
loop_
_atom_site_label
_atom_site_fract_x
_atom_site_fract_y
_atom_site_fract_z
Sm1 0.000 0.000 0.000
Tm1 0.401 0.401 0.401
Tm2 0.599 0.599 0.599
Th1 0.199 0.199 0.199
Th2 0.801 0.801 0.801
```


no.,energy relative to the elements (eV per atom)
1,0.032
2,0.077
3,0.324
4,0.044
5,0.083
6,0.018